# RbCrCuF6, relaxed, DFT PBE+U
# E_tot = -5.0307 eV/atom
data_RbCrCuF6
_cell_length_a 7.1686
_cell_length_b 7.4320
_cell_length_c 10.5947
_cell_angle_alpha 90.00
_cell_angle_beta 90.00
_cell_angle_gamma 90.00
_symmetry_space_group_name_H-M 'I m m a'
_symmetry_Int_Tables_number 74
_symmetry_space_group_name_Hall '-I 2b 2'
loop_
_atom_site_label
_atom_site_type_symbol
_atom_site_fract_x
_atom_site_fract_y
_atom_site_fract_z
_atom_site_occupancy
Rb1 Rb 0.0000 0.2500 0.1103 1
Cr1 Cr 0.0000 0.0000 0.5000 1
Cu1 Cu 0.2500 0.2500 0.7500 1
F1 F 0.0000 0.2500 0.4396 1
F2 F 0.0000 0.2500 0.8192 1
F3 F 0.1964 0.0439 0.6216 1